Here is ErVAs2 after structural relaxation from the Alexandria database. Energies are from PBE.

* calculated formation energy: -165 meV per atom
* ρ: 6.970 g/cm3
* total DFT energy (no corrections): -23.64 eV per cell

Cell: 3.346 3.346 9.246 Å, 79.57 79.57 60.00°
Fractional coordinates of all 4 atoms:
As 0.106 0.106 0.682
As 0.894 0.894 0.318
V 0.500 0.500 0.500
Er 0.000 0.000 0.000

=====

Here is Nd2Se2S after structural relaxation from the Alexandria database. Energies are from PBE.

* energy relative to the elements, uncorrected: -1.94 eV per atom
* ρ: 5.785 g/cm3
* total DFT energy (no corrections): -60.68 eV per cell
* polymorph energy (0 for the lowest one): 0.00 kcal/mol of atoms

Cell: 4.130 7.095 9.798 Å, 90.00 90.00 106.92°
Fractional coordinates of all 10 atoms:
Nd 0.262 0.524 0.147
Nd 0.000 0.000 0.897
Nd 0.738 0.476 0.647
Nd 0.000 0.000 0.397
Se 0.648 0.297 0.964
Se 0.352 0.703 0.830
Se 0.352 0.703 0.464
Se 0.648 0.297 0.330
S 0.902 0.805 0.147
S 0.098 0.195 0.647

=====

Here is GdHoLuOs after structural relaxation from the Alexandria database. Energies are from PBE.

* calculated formation energy: 97 meV per atom
* ρ: 12.190 g/cm3
* total DFT energy (no corrections): -34.02 eV per cell

Cell: 5.097 5.097 5.097 Å, 60.00 60.00 60.00°
Fractional coordinates of all 4 atoms:
Gd 0.250 0.250 0.250
Lu 0.000 0.000 0.000
Os 0.500 0.500 0.500
Ho 0.750 0.750 0.750

=====

Here is PmSi2NiPt2 after structural relaxation from the Alexandria database. Energies are from PBE.

* energy relative to the elements, uncorrected: -0.92 eV per atom
* ρ: 10.583 g/cm3
* total DFT energy (no corrections): -39.00 eV per cell

Cell: 4.156 4.156 6.819 Å, 90.00 90.00 120.00°
Fractional coordinates of all 6 atoms:
Pm 0.000 0.000 0.000
Si 0.667 0.333 0.673
Si 0.333 0.667 0.327
Ni 0.000 0.000 0.500
Pt 0.667 0.333 0.299
Pt 0.333 0.667 0.701

=====

Here is Pu5As after structural relaxation from the Alexandria database. Energies are from PBE.

* calculated formation energy: -14 meV per atom
* ρ: 17.510 g/cm3
* total DFT energy (no corrections): -76.39 eV per cell

Cell: 4.046 4.770 6.795 Å, 110.55 90.00 90.00°
Fractional coordinates of all 6 atoms:
As 0.000 0.000 0.000
Pu 0.000 0.659 0.318
Pu 0.000 0.341 0.682
Pu 0.500 0.500 0.000
Pu 0.500 0.226 0.452
Pu 0.500 0.774 0.548

=====

Here is AgIr2Au after structural relaxation from the Alexandria database. Energies are from PBE.

* calculated formation energy: 401 meV per atom
* ρ: 17.838 g/cm3
* total DFT energy (no corrections): -22.25 eV per cell
* polymorph energy (0 for the lowest one): 5.06 kcal/mol of atoms

Cell: 9.626 9.626 9.626 Å, 16.69 16.69 16.69°
Fractional coordinates of all 4 atoms:
Ir 0.000 0.000 0.000
Ir 0.500 0.500 0.500
Au 0.750 0.750 0.750
Ag 0.250 0.250 0.250

=====

Here is BaSr2TeRh after structural relaxation from the Alexandria database. Energies are from PBE.

* energy relative to the elements, uncorrected: -0.60 eV per atom
* ρ: 4.630 g/cm3
* total DFT energy (no corrections): -18.80 eV per cell

Cell: 5.724 5.724 5.944 Å, 90.00 90.00 90.00°
Fractional coordinates of all 5 atoms:
Sr 0.000 0.500 0.000
Sr 0.500 0.000 0.000
Te 0.500 0.500 0.500
Rh 0.000 0.000 0.000
Ba 0.000 0.000 0.500

=====

Here is ScWBr2 after structural relaxation from the Alexandria database. Energies are from PBE.

* energy relative to the elements, uncorrected: 0.48 eV per atom
* ρ: 7.727 g/cm3
* total DFT energy (no corrections): -20.73 eV per cell
* polymorph energy (0 for the lowest one): 18.61 kcal/mol of atoms

Cell: 3.337 3.337 9.075 Å, 90.00 90.00 124.27°
Fractional coordinates of all 4 atoms:
Br 0.000 0.000 0.987
Br 0.000 0.000 0.513
Sc 0.500 0.500 0.250
W 0.500 0.500 0.750

=====

Here is SiH2Pt2 after structural relaxation from the Alexandria database. Energies are from PBE.

* ρ: 13.438 g/cm3
* total DFT energy (no corrections): -23.91 eV per cell
* polymorph energy (0 for the lowest one): 1.49 kcal/mol of atoms

Cell: 2.986 2.986 6.195 Å, 76.06 76.06 90.00°
Fractional coordinates of all 5 atoms:
H 0.750 0.250 0.500
H 0.250 0.750 0.500
Si 0.000 0.000 0.000
Pt 0.363 0.363 0.274
Pt 0.637 0.637 0.726

=====

Here is NbPdPb after structural relaxation from the Alexandria database. Energies are from PBE.

* calculated formation energy: 184 meV per atom
* ρ: 10.703 g/cm3
* total DFT energy (no corrections): -36.84 eV per cell

Cell: 5.634 5.060 6.026 Å, 74.91 62.13 56.17°
Fractional coordinates of all 6 atoms:
Nb 0.750 0.500 0.500
Nb 0.250 0.500 0.500
Pb 0.821 0.357 0.000
Pb 0.179 0.643 0.000
Pd 0.633 0.000 0.733
Pd 0.367 0.000 0.267

=====

Here is Tb7Y12In after structural relaxation from the Alexandria database. Energies are from PBE.

* calculated formation energy: 74 meV per atom
* ρ: 5.987 g/cm3
* total DFT energy (no corrections): -111.24 eV per cell

Cell: 8.742 8.742 8.742 Å, 99.61 99.61 99.61°
Fractional coordinates of all 20 atoms:
Tb 0.856 0.586 0.856
Tb 0.414 0.144 0.144
Tb 0.144 0.144 0.414
Tb 0.500 0.500 0.500
Tb 0.856 0.856 0.586
Tb 0.586 0.856 0.856
Tb 0.144 0.414 0.144
Y 0.000 0.255 0.745
Y 0.745 0.255 0.000
Y 0.599 0.166 0.599
Y 0.834 0.401 0.401
Y 0.255 0.000 0.745
Y 0.401 0.401 0.834
Y 0.599 0.599 0.166
Y 0.745 0.000 0.255
Y 0.166 0.599 0.599
Y 0.401 0.834 0.401
Y 0.255 0.745 0.000
Y 0.000 0.745 0.255
In 0.000 0.000 0.000

=====

Here is Nd3DySe4 after structural relaxation from the Alexandria database. Energies are from PBE.

* energy relative to the elements, uncorrected: -1.81 eV per atom
* ρ: 7.254 g/cm3
* total DFT energy (no corrections): -47.34 eV per cell
* polymorph energy (0 for the lowest one): 0.11 kcal/mol of atoms

Cell: 4.135 7.298 7.298 Å, 108.77 90.00 90.00°
Fractional coordinates of all 8 atoms:
Nd 0.000 0.000 0.500
Nd 0.500 0.500 0.500
Nd 0.000 0.500 0.000
Dy 0.500 0.000 0.000
Se 0.000 0.240 0.240
Se 0.500 0.755 0.245
Se 0.000 0.760 0.760
Se 0.500 0.245 0.755